1.
Entry from Alexandria via LeMat-Bulk: a relaxed Rb2VPbW crystal (PBE-GGA).

extended XYZ file:
```
5
Lattice="6.9683 0.0000 0.0000 0.0000 5.3142 0.0000 0.0000 0.0000 6.9683" Properties=species:S:1:pos:R:3 pbc="T T T"
Pb 0.0000 0.0000 0.0000
W 3.4842 2.6571 3.4842
Rb 3.4842 0.0000 0.0000
Rb 0.0000 0.0000 3.4842
V 0.0000 2.6571 0.0000
```

## Properties
The formation energy from the elements comes out at 189.7 kJ/mol of atoms. As for the space group: P4/mmm, No. 123.

2.
Entry from Alexandria via LeMat-Bulk: a relaxed RbZrVPb2 crystal (PBE-GGA).

extended XYZ file:
```
5
Lattice="5.8217 0.0000 0.0000 0.0000 4.9320 0.0000 0.0000 0.0000 5.8217" Properties=species:S:1:pos:R:3 pbc="T T T"
Pb 2.9108 0.0000 0.0000
Pb 0.0000 0.0000 2.9108
Zr 2.9108 2.4660 2.9108
Rb 0.0000 0.0000 0.0000
V 0.0000 2.4660 0.0000
```

## Properties
The formation energy from the elements comes out at 182.5 kJ/mol of atoms. As for the space group: P4/mmm, No. 123.